1.
An optimized crystal structure of Cs3HfBr7, computed with PBE.

Structure (POSCAR):
```
Cs3HfBr7
1.0
5.911 -5.566 0.000
5.911 5.566 0.000
-5.349 0.000 7.266
Cs Hf Br
3 1 7
Direct
0.000 0.000 0.000 Cs
0.272 0.746 0.575 Cs
0.746 0.272 0.575 Cs
0.551 0.551 0.135 Hf
0.222 0.520 0.841 Br
0.380 0.380 0.233 Br
0.386 0.853 0.268 Br
0.520 0.222 0.841 Br
0.719 0.719 0.040 Br
0.801 0.801 0.517 Br
0.853 0.386 0.268 Br
```

Output
* raw formation energy: -17.287 eV/f.u.
* space-group type: Cm, No. 8

***

2.
An optimized crystal structure of Y2InAs, computed with PBE.

Structure (POSCAR):
```
Y2InAs
1.0
3.610 0.000 0.000
0.000 3.610 0.000
0.000 0.000 7.660
Y In As
2 1 1
Direct
0.000 0.000 0.220 Y
0.000 0.000 0.780 Y
0.500 0.500 0.500 In
0.500 0.500 0.000 As
```

Output
* formation energy from the elements: -3.06 eV/f.u.
* energy above the most stable polymorph in this dataset: 221.3 meV per atom
* space-group type: P4/mmm, No. 123

***

3.
An optimized crystal structure of LaReSnPb2, computed with PBE.

Structure (POSCAR):
```
LaReSnPb2
1.0
6.087 0.000 0.000
0.000 6.087 0.000
0.000 0.000 4.831
La Re Sn Pb
1 1 1 2
Direct
0.000 0.000 0.000 La
0.000 0.000 0.500 Re
0.500 0.500 0.500 Sn
0.000 0.500 0.000 Pb
0.500 0.000 0.000 Pb
```

Output
* formation energy from the elements: 7.12 eV/f.u.
* space-group type: P4/mmm, No. 123